YTl2Os | PBE | optimized geometry

ΔE to the lowest computed polymorph	0.2790	eV per atom
VASP energy	-5.116	eV per atom
density of states at the Fermi level	8.61	states/eV/cell
magnetization	0.000	μB per atom

Lattice parameters (Å, degrees): 11.1282 11.1282 11.1282 157.91 157.91 31.45
Fractional positions:
Y1 0.0000 0.0000 0.0000
Y2 0.7500 0.2500 0.5000
Tl1 0.1421 0.6250 0.0171
Tl2 0.3750 0.3921 0.5171
Tl3 0.6079 0.1250 0.9829
Tl4 0.8750 0.8579 0.4829
Os1 0.2500 0.7500 0.5000
Os2 0.5000 0.5000 0.0000